(1)
The following is a meta-GGA SCAN calculation of a crystal of Ni3SnP relaxed with PBEsol, from Alexandria via LeMat-Bulk.

Structure (extended XYZ):
```
5
Lattice="-0.745 -4.102 -1.798 3.460 -1.684 2.409 -2.844 -0.975 3.402" Properties=species:S:1:pos:R:3 pbc="T T T"
Ni -1.422 -0.487 1.701
Ni 1.730 -0.842 1.205
Sn 0.000 0.000 0.000
Ni -0.372 -2.051 -0.899
P -0.064 -3.381 2.007
```

Calculated values
Crystal system = cubic

---

(2)
The following is a meta-GGA SCAN calculation of a crystal of TaIr3 relaxed with PBEsol, from Alexandria via LeMat-Bulk.

Structure (extended XYZ):
```
4
Lattice="3.883 0.000 0.000 0.000 3.883 0.000 0.000 0.000 3.883" Properties=species:S:1:pos:R:3 pbc="T T T"
Ir 0.000 1.941 1.941
Ta 0.000 0.000 0.000
Ir 1.941 1.941 0.000
Ir 1.941 0.000 1.941
```

Calculated values
Crystal system = cubic

---

(3)
The following is a meta-GGA SCAN calculation of a crystal of Al2OsRu relaxed with PBEsol, from Alexandria via LeMat-Bulk.

Structure (extended XYZ):
```
4
Lattice="2.968 0.000 0.000 0.000 4.230 0.000 0.000 0.000 4.230" Properties=species:S:1:pos:R:3 pbc="T T T"
Al 0.000 0.000 2.115
Al 0.000 2.115 0.000
Os 1.484 2.115 2.115
Ru 1.484 0.000 0.000
```

Calculated values
Crystal system = tetragonal

---

(4)
The following is a meta-GGA SCAN calculation of a crystal of ZrHgPb2 relaxed with PBEsol, from Alexandria via LeMat-Bulk.

Structure (extended XYZ):
```
4
Lattice="3.432 0.000 -0.019 0.000 4.921 0.000 -1.688 0.000 5.829" Properties=species:S:1:pos:R:3 pbc="T T T"
Hg 0.235 2.460 4.507
Pb 1.938 2.460 1.845
Pb -1.474 0.000 5.448
Zr 0.229 0.000 2.743
```

Calculated values
Crystal system = orthorhombic

---

| no. | ΔE_f (eV per formula unit) |
| --- | --- |
| 1 | 6.90 |
| 2 | -3.33 |
| 3 | -2.95 |
| 4 | -0.57 |